Entry 1:
# Sm2Ga2Co5

A relaxed structure of Sm2Ga2Co5 (PBE-GGA, the Open Quantum Materials Database).

Cell: 12.054 12.054 12.054 Å, 24.89 24.89 24.89°
Element x y z (fractional)
Sm 0.049 0.049 0.049
Sm 0.147 0.147 0.147
Sm 0.853 0.853 0.853
Sm 0.951 0.951 0.951
Ga 0.278 0.278 0.278
Ga 0.388 0.388 0.388
Ga 0.612 0.612 0.612
Ga 0.722 0.722 0.722
Co 0.000 0.500 0.500
Co 0.113 0.610 0.610
Co 0.390 0.390 0.887
Co 0.390 0.887 0.390
Co 0.500 0.000 0.500
Co 0.500 0.500 0.000
Co 0.500 0.500 0.500
Co 0.610 0.113 0.610
Co 0.610 0.610 0.113
Co 0.887 0.390 0.390

The symmetry is R-3m (166).

Entry 2:
# Er2Sb

A relaxed structure of Er2Sb (PBE-GGA, the Open Quantum Materials Database).

Cell: 6.184 6.184 6.184 Å, 60.00 60.00 60.00°
Element x y z (fractional)
Er 0.000 0.000 0.000
Er 0.000 0.000 0.500
Er 0.000 0.500 0.000
Er 0.500 0.000 0.000
Sb 0.375 0.375 0.375
Sb 0.625 0.625 0.625

The symmetry is Fd-3m (227).

Number 1: E_tot -5.950 eV per atom, M_tot 3.189 μB/f.u.. Number 2: E_tot -4.476 eV per atom, M_tot 0.001 μB/f.u..